VASP calculation (meta-GGA SCAN) on a PBEsol-optimized structure of Rb2SiS6O21.

Properties
- DFT total energy: -9.7093 eV per atom
- Energy relative to the elements, uncorrected: -1.71 eV/atom

a b c (Å): 9.6244 9.6244 11.2973
angles (deg): 90.00 90.00 120.00
Element x y z (fractional)
Rb  0.6667  0.3333  0.4312
Rb  0.3333  0.6667  0.5688
Rb  0.6667  0.3333  0.8714
Rb  0.3333  0.6667  0.1286
Si  0.0000  0.0000  0.2301
Si  0.0000  0.0000  0.7699
S  0.3260  0.0810  0.6615
S  0.9190  0.2450  0.6615
S  0.7550  0.6740  0.6615
S  0.6740  0.9190  0.3385
S  0.0810  0.7550  0.3385
S  0.2450  0.3260  0.3385
S  0.3438  0.2031  0.1460
S  0.7969  0.1407  0.1460
S  0.8593  0.6562  0.1460
S  0.6562  0.7969  0.8540
S  0.2031  0.8593  0.8540
S  0.1407  0.3438  0.8540
O  0.3289  0.3510  0.2067
O  0.6490  0.9779  0.2067
O  0.0221  0.6711  0.2067
O  0.6711  0.6490  0.7933
O  0.3510  0.0221  0.7933
O  0.9779  0.3289  0.7933
O  0.1702  0.0818  0.6758
O  0.9182  0.0885  0.6758
O  0.9115  0.8298  0.6758
O  0.8298  0.9182  0.3242
O  0.0818  0.9115  0.3242
O  0.0885  0.1702  0.3242
O  0.1688  0.0747  0.1347
O  0.9253  0.0942  0.1347
O  0.9058  0.8312  0.1347
O  0.8312  0.9253  0.8653
O  0.0747  0.9058  0.8653
O  0.0942  0.1688  0.8653
O  0.4586  0.2411  0.6561
O  0.7589  0.2175  0.6561
O  0.7825  0.5414  0.6561
O  0.5414  0.7589  0.3439
O  0.2411  0.7825  0.3439
O  0.2175  0.4586  0.3439
O  0.4078  0.2649  0.0317
O  0.7351  0.1429  0.0317
O  0.8571  0.5922  0.0317
O  0.5922  0.7351  0.9683
O  0.2649  0.8571  0.9683
O  0.1429  0.4078  0.9683
O  0.4297  0.1582  0.2259
O  0.8418  0.2715  0.2259
O  0.7285  0.5703  0.2259
O  0.5703  0.8418  0.7741
O  0.1582  0.7285  0.7741
O  0.2715  0.4297  0.7741
O  0.3126  0.9661  0.5757
O  0.0339  0.3466  0.5757
O  0.6534  0.6874  0.5757
O  0.6874  0.0339  0.4243
O  0.9661  0.6534  0.4243
O  0.3466  0.3126  0.4243